First-principles (PBE-GGA) data for a relaxed structure of Th2Ge3Au6, as listed in Alexandria via LeMat-Bulk.

Geometry as POSCAR:
```
Th2Ge3Au6
1.0
-1.1157 -4.2540 0.1103
-1.9693 0.3201 -7.5741
7.3205 -1.8663 2.0676
Au Ge Th
6 3 2
direct
0.5000 0.0000 0.3133 Au
0.0000 0.2086 0.2086 Au
0.0000 0.7914 0.0000 Au
0.0000 0.0000 0.7914 Au
0.5000 0.3133 0.0000 Au
0.5000 0.6867 0.6867 Au
0.5000 0.3667 0.3667 Ge
0.5000 0.0000 0.6333 Ge
0.5000 0.6333 0.0000 Ge
0.0000 0.6667 0.3333 Th
0.0000 0.3333 0.6667 Th
```

Calculated values
**Total energy**: -52.9 eV for the cell shown
**Calculated density**: 13.2 g cm⁻³
**Density of states at the Fermi level**: 7.1 states/eV per cell
**E_form**: -0.4113 eV/atom
**V**: 21.248 Å³/atom